The following is a GGA+U calculation of a geometry-optimized UMnZnO6 structure, from the Alexandria database.

Geometry as extended XYZ:
```
18
Lattice="4.7822 0.0000 0.0000 0.0000 4.7822 0.0000 0.0000 0.0000 9.3851" Properties=species:S:1:pos:R:3 pbc="T T T"
O 3.2925 3.2925 6.3611
O 3.8808 0.9014 1.6686
O 3.8941 0.8881 4.6096
O 1.3892 1.3892 3.1029
O 1.4897 1.4897 6.3611
O 1.5030 1.5030 9.3022
Zn 0.0000 0.0000 0.0025
Zn 2.3911 2.3911 4.6950
O 3.7803 1.0019 7.7954
O 3.2792 3.2792 9.3022
O 3.3930 3.3930 3.1029
O 0.8881 3.8941 4.6096
Mn 0.0000 0.0000 3.1178
O 1.0019 3.7803 7.7954
Mn 2.3911 2.3911 7.8104
U 2.3911 2.3911 1.5801
O 0.9014 3.8808 1.6686
U 0.0000 0.0000 6.2727
```

Total moment   5.96 μB/cell
Space group   No. 102
E_tot   -7.619 eV/atom